Entry 1:
Below is crystalline CsNpTe4 at its relaxed geometry, with properties calculated at the PBE-GGA level.

## Properties
* relative energy among the computed polymorphs: 109 meV per atom
* M_tot: 4.1 Bohr magnetons per cell
* energy relative to the elements, uncorrected: -540 meV per atom
* volume: 43.51 A^3/atom

Lattice parameters (Å, degrees): 9.0677 9.0677 7.9882 97.13 97.13 53.38
Last column: nearest neighbours and their distance in Å.
Sites, in units of the cell vectors:
Cs (0.2012, 0.2012, 0.1890)  10 Te 3.98-4.30
Cs (0.7988, 0.7988, 0.8110)  10 Te 3.98-4.30
Np (0.4612, 0.4612, 0.7244)  5 Te 2.89-3.05
Np (0.5388, 0.5388, 0.2756)  5 Te 2.89-3.05
Te (0.1612, 0.6686, 0.4455)  1 Te 2.77, 1 Np 3.05
Te (0.2551, 0.7449, 0.0000)  2 Np 2.97
Te (0.2828, 0.2828, 0.7240)  1 Np 2.89
Te (0.3314, 0.8388, 0.5545)  1 Te 2.77, 1 Np 3.05
Te (0.6686, 0.1612, 0.4455)  1 Te 2.77, 1 Np 3.05
Te (0.7172, 0.7172, 0.2760)  1 Np 2.89
Te (0.7449, 0.2551, 0.0000)  2 Np 2.97
Te (0.8388, 0.3314, 0.5545)  1 Te 2.77, 1 Np 3.05

Entry 2:
Below is crystalline CsNpTe4 at its relaxed geometry, with properties calculated at the PBE-GGA level.

## Properties
* relative energy among the computed polymorphs: 0 meV per atom
* M_tot: 8.0 Bohr magnetons per cell
* energy relative to the elements, uncorrected: -649 meV per atom
* volume: 38.04 A^3/atom

Lattice parameters (Å, degrees): 6.8870 6.8870 9.6230 90.00 90.00 90.00
Last column: nearest neighbours and their distance in Å.
Sites, in units of the cell vectors:
Cs (0.2500, 0.2500, 0.0000)  8 Te 3.98
Cs (0.7500, 0.7500, 0.0000)  8 Te 3.98
Np (0.2500, 0.2500, 0.5000)  8 Te 3.20
Np (0.7500, 0.7500, 0.5000)  8 Te 3.20
Te (0.1020, 0.6020, 0.3099)  1 Te 2.88, 2 Np 3.20
Te (0.1020, 0.8980, 0.6901)  1 Te 2.88, 2 Np 3.20
Te (0.3980, 0.6020, 0.6901)  1 Te 2.88, 2 Np 3.20
Te (0.3980, 0.8980, 0.3099)  1 Te 2.88, 2 Np 3.20
Te (0.6020, 0.1020, 0.6901)  1 Te 2.88, 2 Np 3.20
Te (0.6020, 0.3980, 0.3099)  1 Te 2.88, 2 Np 3.20
Te (0.8980, 0.1020, 0.3099)  1 Te 2.88, 2 Np 3.20
Te (0.8980, 0.3980, 0.6901)  1 Te 2.88, 2 Np 3.20